No. 1
Density functional theory data (PBE-GGA) for an optimized crystal structure of CdRu2W.

a = 3.3734 Å, b = 3.3734 Å, c = 5.8788 Å
α = 90.00°, β = 90.00°, γ = 90.00°
Element x y z (fractional)
Cd1 0.0000 0.0000 0.0000
Ru1 0.0000 0.0000 0.5112
Ru2 0.5000 0.5000 0.2604
W1 0.5000 0.5000 0.6809

* total magnetic moment: 1.178 μB per formula unit
* calculated total energy: -30.3 eV/cell
* calculated formation energy: 0.53 eV per atom
* Fermi-level density of states: 1.000 states/eV per atom
* space-group type: P4mm (99)

=====

No. 2
Density functional theory data (PBE-GGA) for an optimized crystal structure of K5Zn3.

a = 10.4151 Å, b = 10.4151 Å, c = 7.4135 Å
α = 90.00°, β = 90.00°, γ = 120.00°
Element x y z (fractional)
K1 0.0000 0.2563 0.2500
K2 0.0000 0.7437 0.7500
K3 0.2563 0.0000 0.2500
K4 0.2563 0.2563 0.7500
K5 0.3333 0.6667 0.0000
K6 0.3333 0.6667 0.5000
K7 0.6667 0.3333 0.0000
K8 0.6667 0.3333 0.5000
K9 0.7437 0.0000 0.7500
K10 0.7437 0.7437 0.2500
Zn1 0.0000 0.3993 0.7500
Zn2 0.0000 0.6007 0.2500
Zn3 0.3993 0.0000 0.7500
Zn4 0.3993 0.3993 0.2500
Zn5 0.6007 0.0000 0.2500
Zn6 0.6007 0.6007 0.7500

* total magnetic moment: 0.000 μB per formula unit
* calculated total energy: -16.2 eV/cell
* calculated formation energy: 0.15 eV per atom
* Fermi-level density of states: 0.676 states/eV per atom
* space-group type: P6_3/mcm (193)

=====

Please write out number 1 again, unchanged.
Density functional theory data (PBE-GGA) for an optimized crystal structure of CdRu2W.

a = 3.3734 Å, b = 3.3734 Å, c = 5.8788 Å
α = 90.00°, β = 90.00°, γ = 90.00°
Element x y z (fractional)
Cd1 0.0000 0.0000 0.0000
Ru1 0.0000 0.0000 0.5112
Ru2 0.5000 0.5000 0.2604
W1 0.5000 0.5000 0.6809

* total magnetic moment: 1.178 μB per formula unit
* calculated total energy: -30.3 eV/cell
* calculated formation energy: 0.53 eV per atom
* Fermi-level density of states: 1.000 states/eV per atom
* space-group type: P4mm (99)